# 1
The following is a DFT calculation (PBE-GGA) of an optimized crystal structure of KDyCoTe3.

Properties
Space-group type: Cmcm, No. 63
Total magnetization in μB per atom: 0.439
Energy relative to the lowest polymorph listed for this composition in meV/atom: 0.0

Structure (CIF):
```
data_KDyCoTe3
_cell_length_a 8.3406
_cell_length_b 8.3406
_cell_length_c 11.4069
_cell_angle_alpha 90.00
_cell_angle_beta 90.00
_cell_angle_gamma 150.37
_space_group_name_H-M_alt 'P 1'
_space_group_IT_number 1
loop_
_space_group_symop_operation_xyz
'x,y,z'
loop_
_atom_site_label
_atom_site_fract_x
_atom_site_fract_y
_atom_site_fract_z
K1 0.2491 0.7509 0.7500
K2 0.7509 0.2491 0.2500
Dy1 0.5000 0.5000 0.0000
Dy2 0.5000 0.5000 0.5000
Co1 0.0261 0.9739 0.2500
Co2 0.9739 0.0261 0.7500
Te1 0.1254 0.8746 0.0721
Te2 0.1254 0.8746 0.4279
Te3 0.4298 0.5702 0.2500
Te4 0.5702 0.4298 0.7500
Te5 0.8746 0.1254 0.5721
Te6 0.8746 0.1254 0.9279
```



# 2
The following is a DFT calculation (PBE-GGA) of an optimized crystal structure of NdU2.

Properties
Space-group type: Fd-3m, No. 227
Total magnetization in μB per atom: 1.037
Formation energy from the elements in meV/atom: 3208

Structure (CIF):
```
data_NdU2
_cell_length_a 8.5500
_cell_length_b 8.5500
_cell_length_c 8.5500
_cell_angle_alpha 60.00
_cell_angle_beta 60.00
_cell_angle_gamma 60.00
_space_group_name_H-M_alt 'P 1'
_space_group_IT_number 1
loop_
_space_group_symop_operation_xyz
'x,y,z'
loop_
_atom_site_label
_atom_site_fract_x
_atom_site_fract_y
_atom_site_fract_z
Nd1 0.1250 0.1250 0.1250
Nd2 0.8750 0.8750 0.8750
U1 0.0000 0.0000 0.0000
U2 0.0000 0.0000 0.5000
U3 0.0000 0.5000 0.0000
U4 0.5000 0.0000 0.0000
```



# 3
The following is a DFT calculation (PBE-GGA) of an optimized crystal structure of MgScReMo.

Properties
Space-group type: F-43m, No. 216
Total magnetization in μB per atom: 0.001
Energy relative to the lowest polymorph listed for this composition in meV/atom: 0.0

Structure (CIF):
```
data_MgScReMo
_cell_length_a 6.4616
_cell_length_b 6.4616
_cell_length_c 6.4616
_cell_angle_alpha 90.00
_cell_angle_beta 90.00
_cell_angle_gamma 90.00
_space_group_name_H-M_alt 'P 1'
_space_group_IT_number 1
loop_
_space_group_symop_operation_xyz
'x,y,z'
loop_
_atom_site_label
_atom_site_fract_x
_atom_site_fract_y
_atom_site_fract_z
Mg1 0.0000 0.0000 0.0000
Mg2 0.0000 0.5000 0.5000
Mg3 0.5000 0.0000 0.5000
Mg4 0.5000 0.5000 0.0000
Sc1 0.2500 0.2500 0.7500
Sc2 0.2500 0.7500 0.2500
Sc3 0.7500 0.2500 0.2500
Sc4 0.7500 0.7500 0.7500
Re1 0.0000 0.0000 0.5000
Re2 0.0000 0.5000 0.0000
Re3 0.5000 0.0000 0.0000
Re4 0.5000 0.5000 0.5000
Mo1 0.2500 0.2500 0.2500
Mo2 0.2500 0.7500 0.7500
Mo3 0.7500 0.2500 0.7500
Mo4 0.7500 0.7500 0.2500
```



# 4
The following is a DFT calculation (PBE-GGA) of an optimized crystal structure of Sr2GaCu.

Properties
Space-group type: F-43m, No. 216
Uncorrected energy in eV per atom: -2.49

Structure (CIF):
```
data_Sr2GaCu
_cell_length_a 7.3214
_cell_length_b 7.3214
_cell_length_c 7.3214
_cell_angle_alpha 90.00
_cell_angle_beta 90.00
_cell_angle_gamma 90.00
_space_group_name_H-M_alt 'P 1'
_space_group_IT_number 1
loop_
_space_group_symop_operation_xyz
'x,y,z'
loop_
_atom_site_label
_atom_site_fract_x
_atom_site_fract_y
_atom_site_fract_z
Sr1 0.0000 0.0000 0.0000
Sr2 0.0000 0.5000 0.5000
Sr3 0.2500 0.2500 0.2500
Sr4 0.2500 0.7500 0.7500
Sr5 0.5000 0.0000 0.5000
Sr6 0.5000 0.5000 0.0000
Sr7 0.7500 0.2500 0.7500
Sr8 0.7500 0.7500 0.2500
Ga1 0.0000 0.0000 0.5000
Ga2 0.0000 0.5000 0.0000
Ga3 0.5000 0.0000 0.0000
Ga4 0.5000 0.5000 0.5000
Cu1 0.2500 0.2500 0.7500
Cu2 0.2500 0.7500 0.2500
Cu3 0.7500 0.2500 0.2500
Cu4 0.7500 0.7500 0.7500
```